Model A:
## LiPd2Pt2 (GGA-PBE)

Data for a relaxed structure of LiPd2Pt2.

Calculated values
* V: 74 Å³/cell
* total magnetization: 0.0 μB per cell
* symmetry: C2/m, No. 12

Cell: 4.714 4.714 6.013 Å, 128.41 128.41 49.67°
Fractional positions:
Li 0.000 0.000 0.000
Pd 0.396 0.396 0.192
Pd 0.604 0.604 0.808
Pt 0.195 0.195 0.586
Pt 0.805 0.805 0.414

***

Model B:
## LiPd2Pt2 (GGA-PBE)

Data for a relaxed structure of LiPd2Pt2.

Calculated values
* V: 89 Å³/cell
* total magnetization: 0.0 μB per cell
* symmetry: I4/mmm, No. 139

Cell: 6.750 6.750 6.750 Å, 147.32 147.32 46.89°
Fractional positions:
Li 0.000 0.000 0.000
Pd 0.250 0.750 0.500
Pd 0.750 0.250 0.500
Pt 0.402 0.402 0.000
Pt 0.598 0.598 0.000

***

The most stable of them is model A.

***

Model A:
## LiPd5Pt2 (GGA-PBE)

Data for a relaxed structure of LiPd5Pt2.

Calculated values
* V: 258 Å³/cell
* total magnetization: 0.0 μB per cell
* symmetry: P2_1/m, No. 11

Cell: 3.949 11.640 5.952 Å, 90.00 109.30 90.00°
Fractional positions:
Li 0.244 0.250 0.487
Li 0.756 0.750 0.513
Pd 0.083 0.750 0.168
Pd 0.087 0.088 0.173
Pd 0.087 0.412 0.173
Pd 0.418 0.090 0.835
Pd 0.418 0.410 0.835
Pd 0.582 0.590 0.165
Pd 0.582 0.910 0.165
Pd 0.913 0.588 0.827
Pd 0.913 0.912 0.827
Pd 0.917 0.250 0.832
Pt 0.253 0.587 0.507
Pt 0.253 0.913 0.507
Pt 0.747 0.087 0.493
Pt 0.747 0.413 0.493

***

Model B:
## LiPd5Pt2 (GGA-PBE)

Data for a relaxed structure of LiPd5Pt2.

Calculated values
* V: 253 Å³/cell
* total magnetization: 0.0 μB per cell
* symmetry: I4/mcm, No. 140

Cell: 7.255 7.255 7.255 Å, 123.69 123.69 83.72°
Fractional positions:
Li 0.250 0.250 0.000
Li 0.750 0.750 0.000
Pd 0.000 0.000 0.000
Pd 0.015 0.515 0.198
Pd 0.183 0.985 0.500
Pd 0.317 0.817 0.802
Pd 0.485 0.683 0.500
Pd 0.500 0.500 0.000
Pd 0.515 0.317 0.500
Pd 0.683 0.183 0.198
Pd 0.817 0.015 0.500
Pd 0.985 0.485 0.802
Pt 0.143 0.357 0.500
Pt 0.357 0.857 0.214
Pt 0.643 0.143 0.786
Pt 0.857 0.643 0.500

***

The most stable of them is model B.